# 1
Material: Rb2ZrAu2
Method: DFT, PBE
State: relaxed

```
data_Rb2ZrAu2
_cell_length_a 6.772
_cell_length_b 6.772
_cell_length_c 6.772
_cell_angle_alpha 127.69
_cell_angle_beta 127.69
_cell_angle_gamma 77.13
_space_group_name_H-M_alt 'P 1'
_space_group_IT_number 1
_space_group_name_Hall 'P 1'
loop_
_atom_site_label
_atom_site_fract_x
_atom_site_fract_y
_atom_site_fract_z
_atom_site_occupancy
Rb1 0.147 0.147 0.000 1
Rb2 0.853 0.853 0.000 1
Zr1 0.500 0.500 0.000 1
Au1 0.250 0.750 0.500 1
Au2 0.750 0.250 0.500 1
```

## Properties
VASP energy ... -2.56 eV/atom
Energy of formation from the pure elements ... 0.850 eV per atom
V ... 37.75 Å³ per atom
Space group ... No. 139
DOS at the Fermi energy ... 7.25 states/eV per cell
Offset from the most stable computed form ... 322.5 meV/atom

# 2
Material: SbPd2I2
Method: DFT, PBE
State: relaxed

```
data_SbPd2I2
_cell_length_a 4.146
_cell_length_b 4.146
_cell_length_c 9.431
_cell_angle_alpha 91.50
_cell_angle_beta 91.50
_cell_angle_gamma 60.80
_space_group_name_H-M_alt 'P 1'
_space_group_IT_number 1
_space_group_name_Hall 'P 1'
loop_
_atom_site_label
_atom_site_fract_x
_atom_site_fract_y
_atom_site_fract_z
_atom_site_occupancy
Sb1 0.000 0.000 0.000 1
Pd1 0.331 0.331 0.857 1
Pd2 0.669 0.669 0.143 1
I1 0.336 0.336 0.306 1
I2 0.664 0.664 0.694 1
```

## Properties
VASP energy ... -3.76 eV/atom
V ... 28.29 Å³ per atom
Space group ... No. 12
DOS at the Fermi energy ... 2.68 states/eV per cell
Energy relative to the elements, uncorrected ... -241 meV/atom